No. 1
Density functional theory data (GGA-PBE) for crystalline Li2ReRh at its relaxed geometry.

abc: 5.9412 5.9412 5.9412
angles: 90.00 90.00 90.00
Last column: nearest neighbours and their distance in Å.
Space group F-43m (No. 216)
Asymmetric unit:
Li 0.0000 0.0000 0.0000 x4  4 Li 2.57, 4 Re 2.57
Li 0.2500 0.2500 0.2500 x4  4 Li 2.57, 4 Rh 2.57
Re 0.2500 0.2500 0.7500 x4  4 Li 2.57, 4 Rh 2.57
Rh 0.0000 0.0000 0.5000 x4  4 Li 2.57, 4 Re 2.57

Properties
Calculated formation energy = 0.104 eV per atom
Magnetization = 0.0 μB per formula unit
Raw total energy = -5.80 eV per atom
Excess energy over the best structure of this formula in the dataset = 48.4 meV per atom

***

No. 2
Density functional theory data (GGA-PBE) for crystalline Li2ReRh at its relaxed geometry.

abc: 2.7002 4.4895 9.2912
angles: 90.00 90.00 90.00
Last column: nearest neighbours and their distance in Å.
Space group Immm (No. 71)
Asymmetric unit:
Li 0.0000 0.0000 0.2403 x4  2 Rh 2.61, 6 Li 2.63-2.70, 2 Re 2.76
Re 0.0000 0.5000 0.0000 x2  4 Rh 2.62, 2 Re 2.70, 4 Li 2.76
Rh 0.0000 0.5000 0.5000 x2  4 Li 2.61, 4 Re 2.62, 2 Rh 2.70

Properties
Calculated formation energy = 0.100 eV per atom
Magnetization = 0.0 μB per formula unit
Raw total energy = -5.81 eV per atom
Excess energy over the best structure of this formula in the dataset = 44.0 meV per atom

***

No. 3
Density functional theory data (GGA-PBE) for crystalline Li2ReRh at its relaxed geometry.

abc: 2.7977 2.7977 7.3999
angles: 90.00 90.00 90.00
Last column: nearest neighbours and their distance in Å.
Space group P4mm (No. 99)
Asymmetric unit:
Li 0.0000 0.0000 0.0000 x1  4 Rh 2.63, 8 Li 2.80
Li 0.5000 0.5000 0.2678 x1  4 Re 2.79, 8 Li 2.80
Re 0.0000 0.0000 0.5342 x1  4 Rh 2.61, 4 Li 2.79, 4 Re 2.80
Rh 0.5000 0.5000 0.7650 x1  4 Re 2.61, 4 Li 2.63, 4 Rh 2.80

Properties
Calculated formation energy = 0.094 eV per atom
Magnetization = 0.0 μB per formula unit
Raw total energy = -5.81 eV per atom
Excess energy over the best structure of this formula in the dataset = 38.3 meV per atom

***

No. 4
Density functional theory data (GGA-PBE) for crystalline Li2ReRh at its relaxed geometry.

abc: 2.6675 4.0096 5.4401
angles: 90.00 90.00 90.00
Last column: nearest neighbours and their distance in Å.
Space group Pmm2 (No. 25)
Asymmetric unit:
Li 0.0000 0.0000 0.0000 x1  2 Re 2.62-2.82, 6 Li 2.67, 4 Rh 2.92
Li 0.5000 0.5000 0.2131 x1  2 Rh 2.62-2.82, 6 Li 2.67, 4 Re 2.93
Re 0.0000 0.0000 0.5193 x1  4 Rh 2.59, 2 Li 2.62-2.82, 2 Re 2.67
Rh 0.5000 0.5000 0.6952 x1  4 Re 2.59, 2 Li 2.62-2.82, 2 Rh 2.67

Properties
Calculated formation energy = 0.066 eV per atom
Magnetization = 0.0 μB per formula unit
Raw total energy = -5.84 eV per atom
Excess energy over the best structure of this formula in the dataset = 10.5 meV per atom